This record from Alexandria describes a relaxed structure of H2AuN. The functional is GGA-PBE.

Properties
**Space-group type**: P1 (1)
**Offset from the most stable computed form**: 0.0063 eV/atom
**Crystal system**: triclinic

Structure (POSCAR):
```
H2AuN
1.0
3.366 0.000 0.000
-0.037 4.113 0.000
-1.231 -1.494 3.686
H Au N
2 1 1
direct
0.000 0.000 0.000
0.394 0.140 0.370
0.407 0.514 0.028
0.323 0.036 0.091
```

---

This record from Alexandria describes a relaxed structure of KSr2AgH. The functional is GGA-PBE.

Properties
**Space-group type**: P4/mmm (123)
**DFT total energy**: -11.0 eV for the cell shown
**Crystal system**: tetragonal

Structure (POSCAR):
```
KSr2AgH
1.0
5.419 0.000 0.000
0.000 5.419 0.000
0.000 0.000 5.191
K Sr Ag H
1 2 1 1
direct
0.000 0.000 0.000
0.000 0.500 0.500
0.500 0.000 0.500
0.500 0.500 0.000
0.000 0.000 0.500
```

---

This record from Alexandria describes a relaxed structure of Zr2ScCo. The functional is GGA-PBE.

Properties
**Space-group type**: R3m (160)
**Offset from the most stable computed form**: 0.2125 eV/atom
**Crystal system**: trigonal
**Energy relative to the elements**: 0.07 eV/f.u.

Structure (POSCAR):
```
Zr2ScCo
1.0
1.618 0.934 8.941
-1.618 0.934 8.941
0.000 -1.868 8.941
Zr Sc Co
2 1 1
direct
0.000 0.000 0.000
0.236 0.236 0.236
0.467 0.467 0.467
0.733 0.733 0.733
```

---

Number 1: DOS(E_F) 0.000 states/eV/cell, M_tot 0.000 μB per atom. Number 2: DOS(E_F) 1.706 states/eV/cell, M_tot 0.000 μB per atom. Number 3: DOS(E_F) 3.497 states/eV/cell, M_tot 0.000 μB per atom.